{
  "formula": "SrSc2Bi",
  "functional": "PBE-GGA",
  "state": "relaxed",
  "lattice": [[3.518, 0.000, 0.000], [-1.759, 3.047, 0.000], [0.000, 0.000, 36.062]],
  "species": ["Sr", "Sr", "Sr", "Sc", "Sc", "Sc", "Sc", "Sc", "Sc", "Bi", "Bi", "Bi"],
  "fractional_positions": [[0.000, 0.000, 0.000], [0.333, 0.667, 0.667], [0.667, 0.333, 0.333], [0.000, 0.000, 0.418], [0.000, 0.000, 0.582], [0.333, 0.667, 0.084], [0.333, 0.667, 0.249], [0.667, 0.333, 0.751], [0.667, 0.333, 0.916], [0.000, 0.000, 0.500], [0.333, 0.667, 0.167], [0.667, 0.333, 0.833]],
  "formation_energy_ev_per_fu": 1.21,
  "density_g_cm3": 4.98,
  "m_tot_mub_per_atom": 0.000
}